Record 1
The following is a GGA-PBE calculation of a relaxed La12Sb3C5 crystal, from the Alexandria database.

Electronic total energy in eV per atom: -6.231
Energy relative to the elements, uncorrected in kcal/mol of atoms: -8.07

Cell lengths 14.533, 14.533, 14.533 Å; angles 109.47, 109.47, 109.47 degrees
Fractional coordinates of all 80 atoms:
La1 0.018 0.201 0.113
La2 0.018 0.317 0.905
La3 0.087 0.701 0.683
La4 0.087 0.887 0.405
La5 0.095 0.613 0.413
La6 0.095 0.982 0.683
La7 0.113 0.018 0.201
La8 0.113 0.595 0.913
La9 0.183 0.201 0.587
La10 0.183 0.482 0.595
La11 0.201 0.113 0.018
La12 0.201 0.587 0.183
La13 0.299 0.317 0.913
La14 0.299 0.482 0.387
La15 0.317 0.905 0.018
La16 0.317 0.913 0.299
La17 0.387 0.299 0.482
La18 0.387 0.587 0.905
La19 0.405 0.087 0.887
La20 0.405 0.817 0.518
La21 0.413 0.095 0.613
La22 0.413 0.817 0.799
La23 0.482 0.387 0.299
La24 0.482 0.595 0.183
La25 0.518 0.405 0.817
La26 0.518 0.613 0.701
La27 0.587 0.183 0.201
La28 0.587 0.905 0.387
La29 0.595 0.183 0.482
La30 0.595 0.913 0.113
La31 0.613 0.413 0.095
La32 0.613 0.701 0.518
La33 0.683 0.087 0.701
La34 0.683 0.095 0.982
La35 0.701 0.518 0.613
La36 0.701 0.683 0.087
La37 0.799 0.413 0.817
La38 0.799 0.887 0.982
La39 0.817 0.518 0.405
La40 0.817 0.799 0.413
La41 0.887 0.405 0.087
La42 0.887 0.982 0.799
La43 0.905 0.018 0.317
La44 0.905 0.387 0.587
La45 0.913 0.113 0.595
La46 0.913 0.299 0.317
La47 0.982 0.683 0.095
La48 0.982 0.799 0.887
Sb1 0.125 0.250 0.375
Sb2 0.125 0.375 0.750
Sb3 0.250 0.375 0.125
Sb4 0.250 0.875 0.625
Sb5 0.375 0.125 0.250
Sb6 0.375 0.750 0.125
Sb7 0.625 0.250 0.875
Sb8 0.625 0.875 0.750
Sb9 0.750 0.125 0.375
Sb10 0.750 0.625 0.875
Sb11 0.875 0.625 0.250
Sb12 0.875 0.750 0.625
C1 0.000 0.000 0.000
C2 0.000 0.000 0.500
C3 0.000 0.500 0.000
C4 0.000 0.500 0.500
C5 0.125 0.750 0.875
C6 0.125 0.875 0.250
C7 0.250 0.125 0.875
C8 0.250 0.625 0.375
C9 0.375 0.250 0.625
C10 0.375 0.625 0.750
C11 0.500 0.000 0.000
C12 0.500 0.000 0.500
C13 0.500 0.500 0.000
C14 0.500 0.500 0.500
C15 0.625 0.375 0.250
C16 0.625 0.750 0.375
C17 0.750 0.375 0.625
C18 0.750 0.875 0.125
C19 0.875 0.125 0.750
C20 0.875 0.250 0.125

***

Record 2
The following is a GGA-PBE calculation of a relaxed Cs3Ce2UAs6 crystal, from the Alexandria database.

Calculated formation energy in eV/atom: -0.719
Electronic total energy in eV per atom: -5.187

Cell lengths 7.583, 7.583, 8.657 Å; angles 98.39, 98.39, 119.98 degrees
Fractional coordinates of all 12 atoms:
Cs1 0.000 0.000 0.000
Cs2 0.330 0.670 0.000
Cs3 0.670 0.330 0.000
Ce1 0.166 0.834 0.500
Ce2 0.834 0.166 0.500
U1 0.500 0.500 0.500
As1 0.127 0.445 0.333
As2 0.240 0.240 0.668
As3 0.445 0.127 0.333
As4 0.555 0.873 0.667
As5 0.760 0.760 0.332
As6 0.873 0.555 0.667

***

Record 3
The following is a GGA-PBE calculation of a relaxed Nb2InCoS crystal, from the Alexandria database.

Electronic total energy in eV per atom: -6.102
Energy relative to the elements, uncorrected in kcal/mol of atoms: 16.61

Cell lengths 4.523, 4.523, 5.020 Å; angles 90.00, 90.00, 90.00 degrees
Fractional coordinates of all 5 atoms:
Nb1 0.000 0.500 0.000
Nb2 0.500 0.000 0.000
In1 0.000 0.000 0.500
Co1 0.500 0.500 0.500
S1 0.000 0.000 0.000

***

Record 4
The following is a GGA-PBE calculation of a relaxed NaVPb2 crystal, from the Alexandria database.

Calculated formation energy in eV/atom: 0.570
Electronic total energy in eV per atom: -3.894

Cell lengths 10.470, 10.470, 10.470 Å; angles 153.43, 153.43, 37.92 degrees
Fractional coordinates of all 8 atoms:
Na1 0.000 0.000 0.000
Na2 0.750 0.250 0.500
V1 0.250 0.750 0.500
V2 0.500 0.500 0.000
Pb1 0.160 0.625 0.035
Pb2 0.375 0.410 0.535
Pb3 0.590 0.125 0.965
Pb4 0.875 0.840 0.465

***

Record 5
The following is a GGA-PBE calculation of a relaxed Ac2Al6NiPd crystal, from the Alexandria database.

Calculated formation energy in eV/atom: -0.453
Electronic total energy in eV per atom: -4.618

Cell lengths 6.536, 6.538, 6.961 Å; angles 62.00, 90.00, 60.08 degrees
Fractional coordinates of all 10 atoms:
Ac1 0.208 0.082 0.126
Ac2 0.792 0.918 0.874
Al1 0.256 0.587 0.668
Al2 0.256 0.990 0.667
Al3 0.343 0.413 0.333
Al4 0.657 0.587 0.667
Al5 0.744 0.010 0.333
Al6 0.744 0.413 0.332
Ni1 0.500 0.500 0.000
Pd1 0.000 0.500 0.500